This record from Alexandria describes a relaxed MgCu2Pb2 crystal. The functional is PBE-GGA.

abc: 3.5134 3.5134 9.1358
angles: 78.91 78.91 90.00
Fractional positions:
Mg 0.0000 0.0000 0.0000
Cu 0.7500 0.2500 0.5000
Pb 0.3810 0.3810 0.2379
Pb 0.6190 0.6190 0.7621
Cu 0.2500 0.7500 0.5000

Properties
* offset from the most stable computed form: 14 meV per atom
* total DFT energy (no corrections): -16.55 eV per cell